# 1
Compound: SrSc2I2
Source: Alexandria
Functional: SCAN
Structure: single point on PBEsol structure

## Properties
**Formation energy without anion corrections**: -2.56 eV/f.u.
**D(E_F)**: 0.477 states/eV/atom
**M_tot**: 1.49 μB/f.u.
**DFT total energy**: -253.58 eV/cell

a b c (Å): 4.143 4.143 16.156
angles (deg): 90.00 90.00 90.00
Space group I4/mmm (No. 139)
Asymmetric unit:
Sr1 0.000 0.000 0.000 [2 per cell]
Sc1 0.000 0.500 0.250 [4 per cell]
I1 0.000 0.000 0.390 [4 per cell]

---

# 2
Compound: Sc3TcI
Source: Alexandria
Functional: SCAN
Structure: single point on PBEsol structure

## Properties
**Formation energy without anion corrections**: 0.37 eV/f.u.
**D(E_F)**: 0.940 states/eV/atom
**M_tot**: 0.00 μB/f.u.
**DFT total energy**: -114.14 eV/cell

a b c (Å): 5.015 5.015 5.015
angles (deg): 90.00 90.00 90.00
Space group Pm-3m (No. 221)
Asymmetric unit:
Sc1 0.000 0.000 0.500 [3 per cell]
Tc1 0.000 0.000 0.000 [1 per cell]
I1 0.500 0.500 0.500 [1 per cell]

---

# 3
Compound: ScTeI2
Source: Alexandria
Functional: SCAN
Structure: single point on PBEsol structure

## Properties
**Formation energy without anion corrections**: -3.03 eV/f.u.
**D(E_F)**: 1.090 states/eV/atom
**M_tot**: 0.00 μB/f.u.
**DFT total energy**: -512.02 eV/cell

a b c (Å): 10.223 10.223 5.570
angles (deg): 90.00 90.00 90.00
Space group I-42d (No. 122)
Asymmetric unit:
Sc1 0.000 0.000 0.000 [4 per cell]
Te1 0.000 0.000 0.500 [4 per cell]
I1 0.113 0.750 0.125 [8 per cell]